# 1
The following is a GGA-PBE calculation of a relaxed structure of MoPt2Au, from the Alexandria database.

**Symmetry**: I-42d
**N(E_F)**: 9.7 states/eV per cell
**Magnetic moment**: 0.0 μB/cell
**Calculated volume**: 18.0 Å³/atom
**Uncorrected energy**: -6.18 eV/atom

```
MoPt2Au
1.0
-2.380 -2.891 -6.161
-4.470 -4.257 3.725
-5.395 -1.636 -1.367
Mo Au Pt
2 2 4
Cartesian
-3.425 -3.574 -1.218
-6.645 -4.733 0.570
0.000 0.000 0.000
-5.600 -4.051 -4.372
-3.339 -2.680 -3.581
-4.496 -3.499 1.071
-6.721 -4.008 -1.850
-9.934 -7.381 -3.244
```

# 2
The following is a GGA-PBE calculation of a relaxed structure of Ho3ScAl8, from the Alexandria database.

**Symmetry**: R3m
**N(E_F)**: 9.8 states/eV per cell
**Magnetic moment**: 0.0 μB/cell
**Calculated volume**: 19.6 Å³/atom
**Uncorrected energy**: -4.67 eV/atom

```
Ho3ScAl8
1.0
5.492 0.000 0.000
2.746 4.756 0.000
2.746 1.585 9.017
Ho Sc Al
3 1 8
Cartesian
5.492 3.171 7.887
8.238 4.756 0.032
5.492 3.171 4.492
8.238 4.756 3.368
6.864 2.379 1.714
6.868 5.548 6.176
4.121 2.379 1.714
9.609 5.548 6.176
2.746 1.585 3.938
8.238 4.756 8.459
5.492 4.755 1.714
8.238 3.174 6.176
```

# 3
The following is a GGA-PBE calculation of a relaxed structure of Ba2SrCaH, from the Alexandria database.

**Symmetry**: P4/mmm
**N(E_F)**: 4.9 states/eV per cell
**Magnetic moment**: 0.0 μB/cell
**Calculated volume**: 41.4 Å³/atom
**Uncorrected energy**: -2.29 eV/atom

```
Ba2SrCaH
1.0
-1.441 3.817 4.719
4.220 -2.855 3.599
3.721 3.433 -1.640
Sr Ca Ba H
1 1 2 1
Cartesian
1.861 1.716 -0.820
3.250 2.197 3.339
2.110 -1.428 1.799
-0.721 1.909 2.359
0.000 0.000 0.000
```

# 4
The following is a GGA-PBE calculation of a relaxed structure of AsI, from the Alexandria database.

**Symmetry**: R3m
**N(E_F)**: 2.3 states/eV per cell
**Magnetic moment**: 0.0 μB/cell
**Calculated volume**: 32.7 Å³/atom
**Uncorrected energy**: -2.63 eV/atom

```
AsI
1.0
-0.465 1.012 3.500
2.907 -2.034 -0.953
8.831 13.965 -2.865
I As
3 3
Cartesian
4.929 7.795 -1.599
3.768 2.121 -0.113
8.531 12.446 -0.538
6.238 9.865 -2.024
5.077 4.191 -0.537
1.010 0.552 1.902
```

# 5
The following is a GGA-PBE calculation of a relaxed structure of YPuN2, from the Alexandria database.

**Symmetry**: P6_3/mmc
**N(E_F)**: 11.6 states/eV per cell
**Magnetic moment**: 9.9 μB/cell
**Calculated volume**: 14.9 Å³/atom
**Uncorrected energy**: -10.77 eV/atom

```
YPuN2
1.0
-0.224 2.444 -2.404
0.949 -3.184 -0.872
-11.152 -2.823 -1.830
Y Pu N
2 2 4
Cartesian
-5.576 -1.411 -0.915
0.000 0.000 0.000
-2.621 -0.138 -2.350
-7.806 -3.425 -2.755
-3.641 -2.371 -2.071
-9.608 -1.906 -3.497
-6.786 -1.192 -3.034
-0.819 -1.657 -1.608
```

# 6
The following is a GGA-PBE calculation of a relaxed structure of Ba4NaCa8, from the Alexandria database.

**Symmetry**: C2/m
**N(E_F)**: 17.5 states/eV per cell
**Magnetic moment**: 0.0 μB/cell
**Calculated volume**: 47.3 Å³/atom
**Uncorrected energy**: -1.87 eV/atom

```
Ba4NaCa8
1.0
6.292 0.000 1.363
2.962 5.504 1.530
-0.494 -0.884 17.488
Ba Na Ca
4 1 8
Cartesian
4.590 4.296 9.219
6.413 1.431 16.009
2.587 3.266 3.261
4.410 0.401 10.052
2.772 -0.845 17.613
1.771 2.659 7.027
5.416 4.907 5.407
3.584 -0.210 13.863
7.229 2.038 12.244
5.273 1.041 6.066
2.915 3.043 16.951
3.727 3.656 13.205
6.085 1.655 2.320
```

# 7
The following is a GGA-PBE calculation of a relaxed structure of IrOsBr2, from the Alexandria database.

**Symmetry**: P4/mmm
**N(E_F)**: 3.7 states/eV per cell
**Magnetic moment**: 0.0 μB/cell
**Calculated volume**: 17.0 Å³/atom
**Uncorrected energy**: -4.21 eV/atom

```
IrOsBr2
1.0
-0.938 3.112 -3.102
-3.468 -2.471 -1.431
-2.027 1.574 2.192
Ir Os Br
1 1 2
Cartesian
-1.482 2.343 -0.455
-2.747 -0.449 0.380
0.000 0.000 0.000
-2.203 0.320 -2.266
```

# 8
The following is a GGA-PBE calculation of a relaxed structure of Ti2CuMo, from the Alexandria database.

**Symmetry**: P4/mmm
**N(E_F)**: 3.5 states/eV per cell
**Magnetic moment**: 0.0 μB/cell
**Calculated volume**: 15.3 Å³/atom
**Uncorrected energy**: -7.83 eV/atom

```
Ti2CuMo
1.0
3.203 0.000 0.000
0.000 3.203 0.000
0.000 0.000 5.976
Mo Cu Ti
1 1 2
Cartesian
1.601 1.601 0.000
1.601 1.601 2.988
0.000 0.000 4.521
0.000 0.000 1.455
```

# 9
The following is a GGA-PBE calculation of a relaxed structure of CeNpSb2, from the Alexandria database.

**Symmetry**: Fm-3m
**N(E_F)**: 16.1 states/eV per cell
**Magnetic moment**: 5.0 μB/cell
**Calculated volume**: 27.3 Å³/atom
**Uncorrected energy**: -7.27 eV/atom

```
CeNpSb2
1.0
-3.116 -4.044 1.648
1.986 -3.752 3.280
-1.622 -0.227 5.109
Np Sb Ce
1 2 1
Cartesian
0.000 0.000 0.000
-0.688 -2.006 2.509
-2.064 -6.018 7.528
-1.376 -4.012 5.018
```

# 10
The following is a GGA-PBE calculation of a relaxed structure of LiSiMo2, from the Alexandria database.

**Symmetry**: Pmm2
**N(E_F)**: 2.5 states/eV per cell
**Magnetic moment**: 0.0 μB/cell
**Calculated volume**: 14.6 Å³/atom
**Uncorrected energy**: -7.10 eV/atom

```
LiSiMo2
1.0
2.636 0.000 0.000
0.000 4.017 0.000
0.000 0.000 5.529
Li Mo Si
1 2 1
Cartesian
1.318 2.008 4.060
0.000 0.000 5.517
1.318 2.008 1.398
0.000 0.000 2.848
```

# 11
The following is a GGA-PBE calculation of a relaxed structure of Cs2Tl2HgPd2, from the Alexandria database.

**Symmetry**: C2/m
**N(E_F)**: 3.5 states/eV per cell
**Magnetic moment**: 0.0 μB/cell
**Calculated volume**: 38.3 Å³/atom
**Uncorrected energy**: -2.55 eV/atom

```
Cs2Tl2HgPd2
1.0
4.683 0.000 0.000
-2.341 6.341 -0.821
0.000 -2.525 9.365
Cs Tl Hg Pd
2 2 1 2
Cartesian
2.341 -1.030 7.661
0.000 4.846 0.883
2.341 2.154 2.325
0.000 1.662 6.219
0.000 -1.263 4.682
2.341 2.564 5.047
0.000 1.252 3.497
```

# 12
The following is a GGA-PBE calculation of a relaxed structure of HoCu2Ni, from the Alexandria database.

**Symmetry**: R-3m
**N(E_F)**: 2.5 states/eV per cell
**Magnetic moment**: 0.0 μB/cell
**Calculated volume**: 16.5 Å³/atom
**Uncorrected energy**: -4.83 eV/atom

```
HoCu2Ni
1.0
4.121 0.000 0.000
2.060 3.569 0.000
2.060 1.190 4.484
Ni Ho Cu
1 1 2
Cartesian
4.121 2.379 2.242
0.000 0.000 0.000
6.181 3.569 2.771
2.060 1.190 1.712
```